Entry 1:
VASP calculation (PBE) on a relaxed KRbRhO3 crystal.

Lattice parameters (Å, degrees): 5.7082 6.0994 6.9903 64.13 83.83 75.75
Site moments in Bohr magnetons follow the coordinates.
Atoms (fractional coordinates):
O 0.9830 0.7708 0.1015  0.14
O 0.4830 0.8724 0.8985  0.14
Rh 0.2500 0.9456 0.1088  0.54
Rb 0.2500 0.2494 0.5012  0.01
K 0.2500 0.5834 0.8332  0.00
O 0.2500 0.7949 0.4103  0.06
O 0.7500 0.2051 0.5897  0.06
O 0.0170 0.2292 0.8985  0.14
K 0.7500 0.4166 0.1668  0.00
Rb 0.7500 0.7506 0.4988  0.01
O 0.5170 0.1276 0.1015  0.14
Rh 0.7500 0.0544 0.8912  0.54

total magnetization	1.03	μB/f.u.
space-group type	C2/c, No. 15
formation energy (no corrections)	-1053	meV/atom
electronic total energy	-5.102	eV/atom

---

Entry 2:
VASP calculation (PBE) on a relaxed AcCoP2Os crystal.

Lattice parameters (Å, degrees): 3.8970 3.8970 6.5549 107.29 107.29 90.00
Atoms (fractional coordinates):
Ac 0.0000 0.0000 0.0000
P 0.6472 0.6472 0.2945
P 0.3528 0.3528 0.7055
Co 0.7500 0.2500 0.5000
Os 0.2500 0.7500 0.5000

total magnetization	0.00	μB/f.u.
space-group type	I-4m2, No. 119
ΔE_f	-4.2	eV/f.u.
electronic total energy	-7.501	eV/atom

---

Entry 3:
VASP calculation (PBE) on a relaxed TaTe4I2 crystal.

Lattice parameters (Å, degrees): 7.8897 10.2084 9.1566 73.58 66.49 67.41
Atoms (fractional coordinates):
Te 0.9154 0.8956 0.9043
I 0.8464 0.0327 0.4521
Ta 0.0173 0.8731 0.1958
Ta 0.5459 0.9381 0.1487
Te 0.3325 0.6480 0.0205
Te 0.2827 0.7742 0.3829
I 0.3584 0.2147 0.9838
Te 0.7782 0.7177 0.3595
I 0.3299 0.3362 0.3926
Te 0.3584 0.9326 0.9353
Te 0.3335 0.0484 0.4314
I 0.9830 0.5803 0.8208
Te 0.6370 0.6343 0.1468
Te 0.7814 0.1240 0.0756

total magnetization	0.00	μB/f.u.
space-group type	P1, No. 1
formation energy (no corrections)	-196	meV/atom
electronic total energy	-4.127	eV/atom

---

Entry 4:
VASP calculation (PBE) on a relaxed LaSnAu4 crystal.

Lattice parameters (Å, degrees): 6.6037 6.8942 6.6037 77.40 73.60 77.40
Atoms (fractional coordinates):
Au 0.7596 0.0000 0.2404
La 0.1608 0.2389 0.1608
Au 0.8057 0.5675 0.4355
Au 0.2404 0.0000 0.7596
Sn 0.3988 0.7992 0.3988
Au 0.4355 0.5675 0.8057
Au 0.1943 0.4325 0.5645
Au 0.5645 0.4325 0.1943
Au 0.1487 0.7288 0.1487
La 0.8392 0.7611 0.8392
Sn 0.6012 0.2008 0.6012
Au 0.8513 0.2712 0.8513

total magnetization	0.00	μB/f.u.
space-group type	C2/m, No. 12
energy relative to the lowest polymorph listed for this composition	0.000	eV/atom
ΔE_f	-2.7	eV/f.u.
electronic total energy	-4.130	eV/atom

---

Entry 5:
VASP calculation (PBE) on a relaxed PbW4Se crystal.

Lattice parameters (Å, degrees): 5.4323 5.4323 5.4323 60.00 60.00 60.00
Atoms (fractional coordinates):
Pb 0.7500 0.7500 0.7500
W 0.3730 0.8810 0.3730
W 0.3730 0.3730 0.3730
Se 0.0000 0.0000 0.0000
W 0.3730 0.3730 0.8810
W 0.8810 0.3730 0.3730

total magnetization	0.00	μB/f.u.
space-group type	F-43m, No. 216
formation energy (no corrections)	947	meV/atom
electronic total energy	-8.887	eV/atom

---

Entry 6:
VASP calculation (PBE) on a relaxed KBAs2O6 crystal.

Lattice parameters (Å, degrees): 7.0727 7.2486 7.2486 82.11 61.75 61.75
Atoms (fractional coordinates):
As 0.9228 0.6391 0.7612
O 0.4801 0.1765 0.6251
O 0.2165 0.0087 0.7970
As 0.5772 0.2388 0.3609
K 0.2500 0.8100 0.1900
As 0.0772 0.3609 0.2388
O 0.2835 0.2030 0.9913
O 0.1775 0.7000 0.6433
B 0.7500 0.8040 0.1960
O 0.7835 0.9913 0.2030
O 0.0199 0.3749 0.8235
O 0.9801 0.6251 0.1765
B 0.2500 0.1960 0.8040
O 0.5199 0.8235 0.3749
O 0.8225 0.3000 0.3567
O 0.7165 0.7970 0.0087
O 0.3225 0.3567 0.3000
K 0.7500 0.1900 0.8100
O 0.6775 0.6433 0.7000
As 0.4228 0.7612 0.6391

total magnetization	0.00	μB/f.u.
space-group type	C2/c, No. 15
formation energy (no corrections)	-1525	meV/atom
electronic total energy	-6.207	eV/atom